Entry from Alexandria: an optimized crystal structure of Lu2InRe (PBE).

Values from the calculation:
The value obtained for the total energy is -0.2295 hartree per atom. The total magnetization is 0.00 μB/f.u. The density of states at the Fermi level is 0.87 states/eV per atom.

```
data_Lu2InRe
_chemical_formula_sum 'Lu2 In1 Re1'
_cell_length_a 3.4869
_cell_length_b 3.4869
_cell_length_c 7.3240
_cell_angle_alpha 90.00
_cell_angle_beta 90.00
_cell_angle_gamma 90.00
_space_group_name_H-M_alt 'P 1'
_space_group_IT_number 1
loop_
_space_group_symop_operation_xyz
'x,y,z'
loop_
_atom_site_label
_atom_site_fract_x
_atom_site_fract_y
_atom_site_fract_z
Lu1 0.0000 0.0000 0.2152
Lu2 0.0000 0.0000 0.7848
In1 0.5000 0.5000 0.5000
Re1 0.5000 0.5000 0.0000
```

=====

Entry from Alexandria: an optimized crystal structure of Lu2InRh (PBE).

Values from the calculation:
The value obtained for the total energy is -0.1982 hartree per atom. The calculation puts the excess energy over the best structure of this formula in the dataset at 125 meV per atom. The total magnetization is 0.00 μB/f.u. The density of states at the Fermi level is 0.38 states/eV per atom.

```
data_Lu2InRh
_chemical_formula_sum 'Lu2 In1 Rh1'
_cell_length_a 4.9897
_cell_length_b 4.9897
_cell_length_c 4.9897
_cell_angle_alpha 60.00
_cell_angle_beta 60.00
_cell_angle_gamma 60.00
_space_group_name_H-M_alt 'P 1'
_space_group_IT_number 1
loop_
_space_group_symop_operation_xyz
'x,y,z'
loop_
_atom_site_label
_atom_site_fract_x
_atom_site_fract_y
_atom_site_fract_z
Lu1 0.2500 0.2500 0.2500
Lu2 0.7500 0.7500 0.7500
In1 0.0000 0.0000 0.0000
Rh1 0.5000 0.5000 0.5000
```

=====

Entry from Alexandria: an optimized crystal structure of Lu2InRh (PBE).

Values from the calculation:
The value obtained for the total energy is -0.2028 hartree per atom. The calculation puts the excess energy over the best structure of this formula in the dataset at 0 meV per atom. The total magnetization is 0.00 μB/f.u. The density of states at the Fermi level is 0.31 states/eV per atom.

```
data_Lu2InRh
_chemical_formula_sum 'Lu2 In1 Rh1'
_cell_length_a 3.4586
_cell_length_b 3.4586
_cell_length_c 7.3869
_cell_angle_alpha 90.00
_cell_angle_beta 90.00
_cell_angle_gamma 90.00
_space_group_name_H-M_alt 'P 1'
_space_group_IT_number 1
loop_
_space_group_symop_operation_xyz
'x,y,z'
loop_
_atom_site_label
_atom_site_fract_x
_atom_site_fract_y
_atom_site_fract_z
Lu1 0.0000 0.0000 0.2163
Lu2 0.0000 0.0000 0.7837
In1 0.5000 0.5000 0.5000
Rh1 0.5000 0.5000 0.0000
```

=====

Entry from Alexandria: an optimized crystal structure of LuInRh4 (PBE).

Values from the calculation:
The value obtained for the total energy is -0.2424 hartree per atom. The total magnetization is 0.00 μB/f.u. The density of states at the Fermi level is 0.96 states/eV per atom.

```
data_LuInRh4
_chemical_formula_sum 'Lu1 In1 Rh4'
_cell_length_a 5.2539
_cell_length_b 5.2539
_cell_length_c 5.2539
_cell_angle_alpha 60.00
_cell_angle_beta 60.00
_cell_angle_gamma 60.00
_space_group_name_H-M_alt 'P 1'
_space_group_IT_number 1
loop_
_space_group_symop_operation_xyz
'x,y,z'
loop_
_atom_site_label
_atom_site_fract_x
_atom_site_fract_y
_atom_site_fract_z
Lu1 0.0000 0.0000 0.0000
In1 0.2500 0.2500 0.2500
Rh1 0.1265 0.6245 0.6245
Rh2 0.6245 0.1265 0.6245
Rh3 0.6245 0.6245 0.1265
Rh4 0.6245 0.6245 0.6245
```